An optimized crystal structure of Tb3Co5Te12, computed with GGA-PBE.

Summary:
- uncorrected formation energy (eV per atom) = -0.418
- SG = Ia-3d (230)

Cell: 14.117 14.117 14.117 Å, 109.47 109.47 109.47°
Positions (direct):
Tb 0.125 0.250 0.375
Tb 0.125 0.375 0.750
Tb 0.250 0.375 0.125
Tb 0.250 0.875 0.625
Tb 0.375 0.125 0.250
Tb 0.375 0.750 0.125
Tb 0.625 0.250 0.875
Tb 0.625 0.875 0.750
Tb 0.750 0.125 0.375
Tb 0.750 0.625 0.875
Tb 0.875 0.625 0.250
Tb 0.875 0.750 0.625
Co 0.000 0.000 0.000
Co 0.000 0.000 0.500
Co 0.000 0.500 0.000
Co 0.000 0.500 0.500
Co 0.125 0.750 0.875
Co 0.125 0.875 0.250
Co 0.250 0.125 0.875
Co 0.250 0.625 0.375
Co 0.375 0.250 0.625
Co 0.375 0.625 0.750
Co 0.500 0.000 0.000
Co 0.500 0.000 0.500
Co 0.500 0.500 0.000
Co 0.500 0.500 0.500
Co 0.625 0.375 0.250
Co 0.625 0.750 0.375
Co 0.750 0.375 0.625
Co 0.750 0.875 0.125
Co 0.875 0.125 0.750
Co 0.875 0.250 0.125
Te 0.025 0.202 0.114
Te 0.025 0.324 0.911
Te 0.088 0.702 0.676
Te 0.088 0.886 0.411
Te 0.089 0.614 0.412
Te 0.089 0.975 0.676
Te 0.114 0.025 0.202
Te 0.114 0.589 0.912
Te 0.176 0.202 0.588
Te 0.176 0.475 0.589
Te 0.202 0.114 0.025
Te 0.202 0.588 0.176
Te 0.298 0.324 0.912
Te 0.298 0.475 0.386
Te 0.324 0.911 0.025
Te 0.324 0.912 0.298
Te 0.386 0.298 0.475
Te 0.386 0.588 0.911
Te 0.411 0.088 0.886
Te 0.411 0.824 0.525
Te 0.412 0.089 0.614
Te 0.412 0.824 0.798
Te 0.475 0.386 0.298
Te 0.475 0.589 0.176
Te 0.525 0.411 0.824
Te 0.525 0.614 0.702
Te 0.588 0.176 0.202
Te 0.588 0.911 0.386
Te 0.589 0.176 0.475
Te 0.589 0.912 0.114
Te 0.614 0.412 0.089
Te 0.614 0.702 0.525
Te 0.676 0.088 0.702
Te 0.676 0.089 0.975
Te 0.702 0.525 0.614
Te 0.702 0.676 0.088
Te 0.798 0.412 0.824
Te 0.798 0.886 0.975
Te 0.824 0.525 0.411
Te 0.824 0.798 0.412
Te 0.886 0.411 0.088
Te 0.886 0.975 0.798
Te 0.911 0.025 0.324
Te 0.911 0.386 0.588
Te 0.912 0.114 0.589
Te 0.912 0.298 0.324
Te 0.975 0.676 0.089
Te 0.975 0.798 0.886


An optimized crystal structure of La2Sm3Tm2, computed with GGA-PBE.

Summary:
- polymorph energy (0 for the lowest one) (meV per atom) = 106.5
- SG = C2/m (12)
- E_form (eV per atom) = 0.126

Cell: 17.791 3.543 8.650 Å, 90.00 118.95 90.00°
Positions (direct):
La 0.065 0.000 0.216
La 0.435 0.500 0.784
La 0.565 0.500 0.216
La 0.935 0.000 0.784
Sm 0.000 0.500 0.500
Sm 0.212 0.500 0.630
Sm 0.288 0.000 0.370
Sm 0.500 0.000 0.500
Sm 0.712 0.000 0.630
Sm 0.788 0.500 0.370
Tm 0.152 0.500 0.965
Tm 0.348 0.000 0.035
Tm 0.652 0.000 0.965
Tm 0.848 0.500 0.035


An optimized crystal structure of BeCoMoOs2, computed with GGA-PBE.

Summary:
- SG = P4/mmm (123)
- E_form (eV per atom) = 2.097

Cell: 4.675 4.675 4.211 Å, 90.00 90.00 90.00°
Positions (direct):
Be 0.000 0.000 0.000
Co 0.500 0.500 0.000
Mo 0.000 0.000 0.500
Os 0.000 0.500 0.500
Os 0.500 0.000 0.500


An optimized crystal structure of CaB2Sb2, computed with GGA-PBE.

Summary:
- polymorph energy (0 for the lowest one) (meV per atom) = 297.6
- uncorrected formation energy (eV per atom) = 0.806
- SG = P4/mbm (127)

Cell: 7.978 7.978 3.581 Å, 90.00 90.00 90.00°
Positions (direct):
Ca 0.000 0.000 0.000
Ca 0.500 0.500 0.000
B 0.073 0.427 0.500
B 0.427 0.927 0.500
B 0.573 0.073 0.500
B 0.927 0.573 0.500
Sb 0.145 0.645 0.000
Sb 0.355 0.145 0.000
Sb 0.645 0.855 0.000
Sb 0.855 0.355 0.000


Repeat the second record exactly.
An optimized crystal structure of La2Sm3Tm2, computed with GGA-PBE.

Summary:
- polymorph energy (0 for the lowest one) (meV per atom) = 106.5
- SG = C2/m (12)
- E_form (eV per atom) = 0.126

Cell: 17.791 3.543 8.650 Å, 90.00 118.95 90.00°
Positions (direct):
La 0.065 0.000 0.216
La 0.435 0.500 0.784
La 0.565 0.500 0.216
La 0.935 0.000 0.784
Sm 0.000 0.500 0.500
Sm 0.212 0.500 0.630
Sm 0.288 0.000 0.370
Sm 0.500 0.000 0.500
Sm 0.712 0.000 0.630
Sm 0.788 0.500 0.370
Tm 0.152 0.500 0.965
Tm 0.348 0.000 0.035
Tm 0.652 0.000 0.965
Tm 0.848 0.500 0.035